[1]
First-principles (GGA-PBEsol) data for a relaxed RuRh3I crystal, as listed in Alexandria via LeMat-Bulk.

The theoretical density is 8556 kg/m3. Its magnetic moment is 3.96 μB per formula unit. The value obtained for the volume is 20.83 A^3/atom. The value obtained for the uncorrected formation energy is 1.857 eV per atom.

Cell: 4.7051 4.7051 4.7051 Å, 90.00 90.00 90.00°
With the nearest neighbours (Å) after each atom.
Space group Pm-3m (No. 221)
Inequivalent atoms, fractional coordinates:
Ru  0.0000  0.0000  0.0000  12 Rh 3.33
Rh  0.0000  0.5000  0.5000  2 I 2.35
I  0.5000  0.5000  0.5000  6 Rh 2.35

***

[2]
First-principles (GGA-PBEsol) data for a relaxed RbGaSb2 crystal, as listed in Alexandria via LeMat-Bulk.

The theoretical density is 4399 kg/m3. Its magnetic moment is 0.00 μB per formula unit. The value obtained for the volume is 37.63 A^3/atom. The value obtained for the uncorrected formation energy is -0.056 eV per atom.

Cell: 5.7642 5.7642 18.1208 Å, 90.00 90.00 90.00°
With the nearest neighbours (Å) after each atom.
Space group I-42d (No. 122)
Inequivalent atoms, fractional coordinates:
Rb  0.0000  0.0000  0.0000  4 Sb 3.57
Ga  0.0000  0.0000  0.5000  4 Sb 2.74
Sb  0.0915  0.2500  0.6250  2 Ga 2.74

***

[3]
First-principles (GGA-PBEsol) data for a relaxed SrRuSe crystal, as listed in Alexandria via LeMat-Bulk.

The theoretical density is 6588 kg/m3. Its magnetic moment is 0.00 μB per formula unit. The value obtained for the volume is 22.49 A^3/atom. The value obtained for the uncorrected formation energy is -0.494 eV per atom.

Cell: 4.1490 4.1490 4.5251 Å, 90.00 90.00 120.00°
With the nearest neighbours (Å) after each atom.
Space group P-6m2 (No. 187)
Inequivalent atoms, fractional coordinates:
Sr  0.0000  0.0000  0.0000  6 Se 3.30, 6 Ru 3.30
Ru  0.3333  0.6667  0.5000  3 Se 2.40
Se  0.6667  0.3333  0.5000  3 Ru 2.40

***

[4]
First-principles (GGA-PBEsol) data for a relaxed CrRuAu2 crystal, as listed in Alexandria via LeMat-Bulk.

The theoretical density is 15016 kg/m3. Its magnetic moment is 2.91 μB per formula unit. The value obtained for the excess energy over the best structure of this formula in the dataset is 0.653 eV/f.u. The value obtained for the volume is 15.12 A^3/atom. The energy of formation from the pure elements is 1.539 eV per formula unit.

Cell: 5.4065 7.6567 2.9225 Å, 90.00 90.00 90.00°
With the nearest neighbours (Å) after each atom.
Space group Cmmm (No. 65)
Inequivalent atoms, fractional coordinates:
Cr  0.0000  0.0000  0.0000  2 Ru 2.70, 8 Au 2.76, 2 Cr 2.92
Ru  0.0000  0.5000  0.0000  2 Cr 2.70, 8 Au 2.76, 2 Ru 2.92
Au  0.2500  0.2500  0.5000  4 Au 2.70-2.92, 4 Cr 2.76, 4 Ru 2.76

***

[5]
First-principles (GGA-PBEsol) data for a relaxed Hg2MoW crystal, as listed in Alexandria via LeMat-Bulk.

The theoretical density is 16337 kg/m3. Its magnetic moment is 0.00 μB per formula unit. The value obtained for the excess energy over the best structure of this formula in the dataset is 0.618 eV/f.u. The value obtained for the volume is 17.30 A^3/atom. The energy of formation from the pure elements is 3.440 eV per formula unit.

Cell: 4.9162 4.9162 2.8638 Å, 90.00 90.00 90.00°
With the nearest neighbours (Å) after each atom.
Space group P4/mmm (No. 123)
Inequivalent atoms, fractional coordinates:
Hg  0.0000  0.5000  0.0000  4 W 2.84, 4 Mo 2.84, 2 Hg 2.86
Mo  0.0000  0.0000  0.5000  8 Hg 2.84, 2 Mo 2.86
W  0.5000  0.5000  0.5000  8 Hg 2.84, 2 W 2.86

***

[6]
First-principles (GGA-PBEsol) data for a relaxed KAg2Ir crystal, as listed in Alexandria via LeMat-Bulk.

The theoretical density is 8531 kg/m3. Its magnetic moment is 0.00 μB per formula unit. The value obtained for the excess energy over the best structure of this formula in the dataset is 0.006 eV/f.u. The value obtained for the volume is 21.75 A^3/atom. The energy of formation from the pure elements is 2.141 eV per formula unit.

Cell: 2.6873 4.6040 7.1416 Å, 90.00 99.99 90.00°
With the nearest neighbours (Å) after each atom.
Space group Pm (No. 6)
Inequivalent atoms, fractional coordinates:
K  0.0000  0.0000  0.0000  2 K 2.69
Ag  0.6493  0.5000  0.3091  4 Ag 2.69-2.92, 2 Ir 2.73
Ag  0.7653  0.0000  0.5648  4 Ag 2.69-2.92, 4 Ir 2.72-2.73
Ir  0.3047  0.5000  0.6466  2 Ir 2.69, 6 Ag 2.72-2.73

***

[7]
First-principles (GGA-PBEsol) data for a relaxed BaTl2Ir2 crystal, as listed in Alexandria via LeMat-Bulk.

The theoretical density is 12900 kg/m3. Its magnetic moment is 0.00 μB per formula unit. The value obtained for the volume is 23.96 A^3/atom. The energy of formation from the pure elements is 0.104 eV per formula unit.

Cell: 4.6625 4.6625 11.0198 Å, 90.00 90.00 90.00°
With the nearest neighbours (Å) after each atom.
Space group I4/mmm (No. 139)
Inequivalent atoms, fractional coordinates:
Ba  0.0000  0.0000  0.0000  8 Ir 3.51, 8 Tl 3.61
Tl  0.0000  0.5000  0.2500  4 Ir 2.80
Ir  0.0000  0.0000  0.3911  1 Ir 2.40

***

[8]
First-principles (GGA-PBEsol) data for a relaxed Tl2SbIr crystal, as listed in Alexandria via LeMat-Bulk.

The theoretical density is 13423 kg/m3. Its magnetic moment is 0.00 μB per formula unit. The value obtained for the excess energy over the best structure of this formula in the dataset is 1.382 eV/f.u. The value obtained for the volume is 22.35 A^3/atom. The value obtained for the uncorrected formation energy is 0.463 eV per atom.

Cell: 3.2060 3.2060 30.1332 Å, 90.00 90.00 120.00°
With the nearest neighbours (Å) after each atom.
Space group R-3m (No. 166, hexagonal axes)
Inequivalent atoms, fractional coordinates:
Tl  0.0000  0.0000  0.2379  3 Ir 2.84
Sb  0.0000  0.0000  0.0000  6 Sb 3.21, 6 Tl 3.42
Ir  0.0000  0.0000  0.5000  6 Tl 2.84

***

[9]
First-principles (GGA-PBEsol) data for a relaxed La2Cu2P crystal, as listed in Alexandria via LeMat-Bulk.

The theoretical density is 6740 kg/m3. Its magnetic moment is 0.00 μB per formula unit. The value obtained for the volume is 21.48 A^3/atom. The energy of formation from the pure elements is -1.484 eV per formula unit.

Cell: 5.6543 5.6543 6.7174 Å, 90.00 90.00 90.00°
With the nearest neighbours (Å) after each atom.
Space group I4/mmm (No. 139)
Inequivalent atoms, fractional coordinates:
La  0.0000  0.5000  0.2500  4 Cu 2.89
Cu  0.0000  0.0000  0.1636  1 Cu 2.20, 1 P 2.26
P  0.0000  0.0000  0.5000  2 Cu 2.26

***

[10]
First-principles (GGA-PBEsol) data for a relaxed SiSb2As crystal, as listed in Alexandria via LeMat-Bulk.

The theoretical density is 6327 kg/m3. Its magnetic moment is 0.00 μB per formula unit. The value obtained for the volume is 22.74 A^3/atom. The value obtained for the uncorrected formation energy is 0.122 eV per atom.

Cell: 3.9690 5.6494 8.1121 Å, 90.00 90.00 90.00°
With the nearest neighbours (Å) after each atom.
Space group Amm2 (No. 38)
Inequivalent atoms, fractional coordinates:
Si  0.0000  0.0000  0.0000  2 As 2.59, 4 Sb 2.83
Sb  0.0000  0.0000  0.5241  2 Si 2.83, 2 As 2.96, 2 Sb 2.99
Sb  0.5000  0.0000  0.2485  2 Si 2.83, 2 As 2.85, 2 Sb 2.99
As  0.5000  0.0000  0.7950  2 Si 2.59, 2 Sb 2.85

***

[11]
First-principles (GGA-PBEsol) data for a relaxed La3AsOs crystal, as listed in Alexandria via LeMat-Bulk.

The theoretical density is 6893 kg/m3. Its magnetic moment is 0.00 μB per formula unit. The value obtained for the volume is 32.85 A^3/atom. The energy of formation from the pure elements is 2.666 eV per formula unit.

Cell: 5.4767 5.4767 5.4767 Å, 90.00 90.00 90.00°
With the nearest neighbours (Å) after each atom.
Space group Pm-3m (No. 221)
Inequivalent atoms, fractional coordinates:
La  0.0000  0.0000  0.5000  2 As 2.74
As  0.0000  0.0000  0.0000  6 La 2.74
Os  0.5000  0.5000  0.5000  12 La 3.87

***

[12]
First-principles (GGA-PBEsol) data for a relaxed AlPPb crystal, as listed in Alexandria via LeMat-Bulk.

The theoretical density is 6671 kg/m3. Its magnetic moment is 0.00 μB per formula unit. The value obtained for the excess energy over the best structure of this formula in the dataset is 0.196 eV/f.u. The value obtained for the volume is 22.00 A^3/atom. The energy of formation from the pure elements is -0.039 eV per formula unit.

Cell: 3.4192 3.4192 11.2915 Å, 90.00 90.00 90.00°
With the nearest neighbours (Å) after each atom.
Space group I4mm (No. 107)
Inequivalent atoms, fractional coordinates:
Al  0.0000  0.0000  0.0000  4 P 2.45
P  0.0000  0.0000  0.4637  4 Al 2.45
Pb  0.0000  0.0000  0.7108  1 P 2.79